(1)
Density functional theory data (PBE) for a geometry-optimized ThB2Os structure.

Calculated values
Crystal system = orthorhombic
Symmetry = Amm2, No. 38
Density of states at the Fermi level = 1.3 states/eV/cell
Final energy = -8.343 eV/atom
Total magnetic moment = 0.000 μB per atom

Structure (extended XYZ):
```
4
Lattice="4.076 0.000 0.000 0.000 2.546 3.119 0.000 -2.546 3.119" Properties=species:S:1:pos:R:3 pbc="T T T"
Th 0.000 0.000 0.000
B 2.038 -0.841 4.446
B 2.038 0.841 4.446
Os 2.038 0.000 2.446
```

=====

(2)
Density functional theory data (PBE) for a geometry-optimized Li3U3TiS8 structure.

Calculated values
Crystal system = trigonal
Symmetry = R-3m, No. 166
Density of states at the Fermi level = 11.7 states/eV/cell
Total magnetic moment = 0.601 μB per atom
Formation energy from raw total energies = -1.38 eV/atom

Structure (extended XYZ):
```
15
Lattice="3.783 2.184 6.273 -3.783 2.184 6.273 0.000 -4.368 6.273" Properties=species:S:1:pos:R:3 pbc="T T T"
Li -1.891 -1.092 6.273
Li -1.891 1.092 12.547
Li 0.000 2.184 6.273
U -3.783 0.000 9.410
U -1.891 1.092 3.137
U 1.891 1.092 3.137
Ti 0.000 0.000 9.410
S 0.000 0.000 4.785
S 0.000 -2.045 7.904
S -1.771 1.022 7.904
S -1.771 -1.022 10.916
S 1.771 1.022 7.904
S 1.771 -1.022 10.916
S 0.000 2.045 10.916
S 0.000 0.000 14.035
```

=====

(3)
Density functional theory data (PBE) for a geometry-optimized Ta3AuS structure.

Calculated values
Crystal system = cubic
Symmetry = Pm-3m, No. 221
Density of states at the Fermi level = 7.6 states/eV/cell
Total magnetic moment = 0.000 μB per atom
Formation energy from raw total energies = 0.33 eV/atom

Structure (extended XYZ):
```
5
Lattice="4.539 0.000 0.000 0.000 4.539 0.000 0.000 0.000 4.539" Properties=species:S:1:pos:R:3 pbc="T T T"
Ta 0.000 0.000 2.269
Ta 0.000 2.269 0.000
Ta 2.269 0.000 0.000
Au 2.269 2.269 2.269
S 0.000 0.000 0.000
```

=====

(4)
Density functional theory data (PBE) for a geometry-optimized ReRu2W structure.

Calculated values
Crystal system = orthorhombic
Symmetry = Cmmm, No. 65
Density of states at the Fermi level = 5.0 states/eV/cell
Final energy = -10.965 eV/atom
Total magnetic moment = 0.000 μB per atom

Structure (extended XYZ):
```
4
Lattice="2.760 -3.874 0.000 2.760 3.874 0.000 0.000 0.000 2.754" Properties=species:S:1:pos:R:3 pbc="T T T"
Re 0.000 0.000 0.000
Ru 1.380 1.937 1.377
Ru 1.380 -1.937 1.377
W 2.760 0.000 0.000
```

=====

(5)
Density functional theory data (PBE) for a geometry-optimized CePrNiIr structure.

Calculated values
Crystal system = cubic
Symmetry = F-43m, No. 216
Density of states at the Fermi level = 7.5 states/eV/cell
Final energy = -6.747 eV/atom
Total magnetic moment = 0.167 μB per atom

Structure (extended XYZ):
```
4
Lattice="0.000 3.511 3.511 3.511 0.000 3.511 3.511 3.511 0.000" Properties=species:S:1:pos:R:3 pbc="T T T"
Ce 0.000 0.000 0.000
Pr 3.511 3.511 3.511
Ni 5.267 5.267 5.267
Ir 1.756 1.756 1.756
```

=====

(6)
Density functional theory data (PBE) for a geometry-optimized Ta4Nb3Mo4 structure.

Calculated values
Crystal system = triclinic
Symmetry = P-1, No. 2
Density of states at the Fermi level = 10.9 states/eV/cell
Final energy = -11.089 eV/atom
Total magnetic moment = 0.000 μB per atom

Structure (extended XYZ):
```
11
Lattice="2.893 0.000 0.000 0.007 4.541 0.000 0.926 2.243 14.469" Properties=species:S:1:pos:R:3 pbc="T T T"
Ta 1.013 2.257 6.570
Ta 1.016 4.536 2.609
Ta 2.811 2.248 11.861
Ta 2.813 4.527 7.899
Nb 0.000 0.000 0.000
Nb 0.991 4.521 10.528
Nb 2.836 2.263 3.942
Mo 1.891 4.515 13.166
Mo 1.888 2.253 9.209
Mo 1.938 4.531 5.261
Mo 1.936 2.269 1.304
```

=====

(7)
Density functional theory data (PBE) for a geometry-optimized ScGaSe2N structure.

Calculated values
Crystal system = tetragonal
Symmetry = P4/mmm, No. 123
Density of states at the Fermi level = 5.3 states/eV/cell
Total magnetic moment = 0.000 μB per atom
Formation energy from raw total energies = 0.01 eV/atom

Structure (extended XYZ):
```
5
Lattice="5.292 0.000 0.000 0.000 5.292 0.000 0.000 0.000 4.073" Properties=species:S:1:pos:R:3 pbc="T T T"
Sc 0.000 0.000 0.000
Ga 2.646 2.646 2.036
Se 0.000 2.646 0.000
Se 2.646 0.000 0.000
N 0.000 0.000 2.036
```

=====

(8)
Density functional theory data (PBE) for a geometry-optimized ErCuAgSn structure.

Calculated values
Crystal system = cubic
Symmetry = F-43m, No. 216
Density of states at the Fermi level = 1.7 states/eV/cell
Final energy = -4.195 eV/atom
Total magnetic moment = 0.000 μB per atom

Structure (extended XYZ):
```
4
Lattice="0.000 3.416 3.416 3.416 0.000 3.416 3.416 3.416 0.000" Properties=species:S:1:pos:R:3 pbc="T T T"
Er 0.000 0.000 0.000
Cu 1.708 1.708 1.708
Ag 5.124 5.124 5.124
Sn 3.416 3.416 3.416
```

=====

(9)
Density functional theory data (PBE) for a geometry-optimized KIn2Bi2 structure.

Calculated values
Crystal system = tetragonal
Symmetry = I4/mmm, No. 139
Density of states at the Fermi level = 1.2 states/eV/cell
Final energy = -3.063 eV/atom
Total magnetic moment = 0.000 μB per atom

Structure (extended XYZ):
```
5
Lattice="-2.565 2.565 7.088 2.565 -2.565 7.088 2.565 2.565 -7.088" Properties=species:S:1:pos:R:3 pbc="T T T"
K 0.000 0.000 0.000
In 2.565 0.000 3.544
In 0.000 2.565 3.544
Bi 0.000 0.000 5.341
Bi 0.000 0.000 8.835
```

=====

(10)
Density functional theory data (PBE) for a geometry-optimized NaPmSe structure.

Calculated values
Crystal system = triclinic
Symmetry = P-1, No. 2
Density of states at the Fermi level = 4.3 states/eV/cell
Total magnetic moment = 0.000 μB per atom
Formation energy from raw total energies = -0.92 eV/atom

Structure (extended XYZ):
```
6
Lattice="4.093 0.000 0.000 -2.042 5.087 0.000 0.000 -2.120 8.165" Properties=species:S:1:pos:R:3 pbc="T T T"
Na 0.005 0.395 3.617
Na 2.046 2.573 4.548
Pm 0.005 3.571 1.249
Pm 2.046 -0.603 6.915
Se -0.002 1.552 6.493
Se 2.052 1.415 1.671
```

=====

(11)
Density functional theory data (PBE) for a geometry-optimized CaTa2Hg structure.

Calculated values
Crystal system = trigonal
Symmetry = R-3m, No. 166
Density of states at the Fermi level = 6.0 states/eV/cell
Final energy = -5.860 eV/atom
Total magnetic moment = 0.000 μB per atom

Structure (extended XYZ):
```
4
Lattice="1.525 0.881 10.637 -1.525 0.881 10.637 0.000 -1.761 10.637" Properties=species:S:1:pos:R:3 pbc="T T T"
Ca 0.000 0.000 0.000
Ta 0.000 0.000 7.807
Ta 0.000 0.000 24.106
Hg 0.000 0.000 15.956
```

=====

(12)
Density functional theory data (PBE) for a geometry-optimized YMnTe2 structure.

Calculated values
Crystal system = tetragonal
Symmetry = P4/mmm, No. 123
Density of states at the Fermi level = 3.2 states/eV/cell
Total magnetic moment = 0.993 μB per atom
Formation energy from raw total energies = -0.50 eV/atom

Structure (extended XYZ):
```
4
Lattice="5.112 0.000 0.000 0.000 5.112 0.000 0.000 0.000 3.784" Properties=species:S:1:pos:R:3 pbc="T T T"
Y 0.000 0.000 0.000
Mn 2.556 2.556 0.000
Te 0.000 2.556 1.892
Te 2.556 0.000 1.892
```

=====

What did the seventh record say?
Density functional theory data (PBE) for a geometry-optimized ScGaSe2N structure.

Calculated values
Crystal system = tetragonal
Symmetry = P4/mmm, No. 123
Density of states at the Fermi level = 5.3 states/eV/cell
Total magnetic moment = 0.000 μB per atom
Formation energy from raw total energies = 0.01 eV/atom

Structure (extended XYZ):
```
5
Lattice="5.292 0.000 0.000 0.000 5.292 0.000 0.000 0.000 4.073" Properties=species:S:1:pos:R:3 pbc="T T T"
Sc 0.000 0.000 0.000
Ga 2.646 2.646 2.036
Se 0.000 2.646 0.000
Se 2.646 0.000 0.000
N 0.000 0.000 2.036
```